No. 1
## EuPaTc2 (PBE)

Data for crystalline EuPaTc2 at its relaxed geometry.

The calculation puts the calculated formation energy at 78 kJ/mol of formula units. The energy above the most stable polymorph in this dataset is 0.155 eV/atom.

Structure (CIF):
```
data_EuPaTc2
_chemical_formula_sum 'Eu1 Pa1 Tc2'
_cell_length_a 4.861
_cell_length_b 4.861
_cell_length_c 4.861
_cell_angle_alpha 60.00
_cell_angle_beta 60.00
_cell_angle_gamma 60.00
_space_group_name_H-M_alt 'P 1'
_space_group_IT_number 1
_space_group_name_Hall 'P 1'
loop_
_atom_site_label
_atom_site_type_symbol
_atom_site_fract_x
_atom_site_fract_y
_atom_site_fract_z
Eu1 Eu 0.000 0.000 0.000
Pa1 Pa 0.500 0.500 0.500
Tc1 Tc 0.250 0.250 0.250
Tc2 Tc 0.750 0.750 0.750
```


No. 2
## EuPaTc2 (PBE)

Data for crystalline EuPaTc2 at its relaxed geometry.

The calculation puts the calculated formation energy at 18 kJ/mol of formula units. The energy above the most stable polymorph in this dataset is 0.000 eV/atom.

Structure (CIF):
```
data_EuPaTc2
_chemical_formula_sum 'Eu1 Pa1 Tc2'
_cell_length_a 3.423
_cell_length_b 3.423
_cell_length_c 7.273
_cell_angle_alpha 90.00
_cell_angle_beta 90.00
_cell_angle_gamma 90.00
_space_group_name_H-M_alt 'P 1'
_space_group_IT_number 1
_space_group_name_Hall 'P 1'
loop_
_atom_site_label
_atom_site_type_symbol
_atom_site_fract_x
_atom_site_fract_y
_atom_site_fract_z
Eu1 Eu 0.000 0.000 0.000
Pa1 Pa 0.000 0.000 0.500
Tc1 Tc 0.500 0.500 0.297
Tc2 Tc 0.500 0.500 0.703
```


No. 3
## EuPaTc (PBE)

Data for crystalline EuPaTc at its relaxed geometry.

The calculation puts the calculated formation energy at 11 kJ/mol of formula units.

Structure (CIF):
```
data_EuPaTc
_chemical_formula_sum 'Eu1 Pa1 Tc1'
_cell_length_a 6.544
_cell_length_b 6.544
_cell_length_c 6.544
_cell_angle_alpha 148.80
_cell_angle_beta 148.80
_cell_angle_gamma 44.71
_space_group_name_H-M_alt 'P 1'
_space_group_IT_number 1
_space_group_name_Hall 'P 1'
loop_
_atom_site_label
_atom_site_type_symbol
_atom_site_fract_x
_atom_site_fract_y
_atom_site_fract_z
Eu1 Eu 0.000 0.000 0.000
Pa1 Pa 0.284 0.284 0.000
Tc1 Tc 0.692 0.692 0.000
```


No. 4
## EuPaTe2 (PBE)

Data for crystalline EuPaTe2 at its relaxed geometry.

The energy above the most stable polymorph in this dataset is 0.000 eV/atom. The calculation puts the formation energy from raw total energies at -1012.4 meV/atom.

Structure (CIF):
```
data_EuPaTe2
_chemical_formula_sum 'Eu1 Pa1 Te2'
_cell_length_a 3.828
_cell_length_b 3.828
_cell_length_c 7.769
_cell_angle_alpha 90.00
_cell_angle_beta 90.00
_cell_angle_gamma 90.00
_space_group_name_H-M_alt 'P 1'
_space_group_IT_number 1
_space_group_name_Hall 'P 1'
loop_
_atom_site_label
_atom_site_type_symbol
_atom_site_fract_x
_atom_site_fract_y
_atom_site_fract_z
Eu1 Eu 0.000 0.000 0.000
Pa1 Pa 0.000 0.000 0.500
Te1 Te 0.500 0.500 0.267
Te2 Te 0.500 0.500 0.733
```


No. 5
## EuTh2Pa (PBE)

Data for crystalline EuTh2Pa at its relaxed geometry.

The calculation puts the calculated formation energy at 116 kJ/mol of formula units. The energy above the most stable polymorph in this dataset is 0.025 eV/atom.

Structure (CIF):
```
data_EuTh2Pa
_chemical_formula_sum 'Eu1 Th2 Pa1'
_cell_length_a 12.632
_cell_length_b 12.632
_cell_length_c 12.632
_cell_angle_alpha 15.70
_cell_angle_beta 15.70
_cell_angle_gamma 15.70
_space_group_name_H-M_alt 'P 1'
_space_group_IT_number 1
_space_group_name_Hall 'P 1'
loop_
_atom_site_label
_atom_site_type_symbol
_atom_site_fract_x
_atom_site_fract_y
_atom_site_fract_z
Eu1 Eu 0.000 0.000 0.000
Th1 Th 0.091 0.091 0.091
Th2 Th 0.909 0.909 0.909
Pa1 Pa 0.500 0.500 0.500
```


No. 6
## EuTh2Pa (PBE)

Data for crystalline EuTh2Pa at its relaxed geometry.

The calculation puts the calculated formation energy at 107 kJ/mol of formula units. The energy above the most stable polymorph in this dataset is 0.000 eV/atom.

Structure (CIF):
```
data_EuTh2Pa
_chemical_formula_sum 'Eu1 Th2 Pa1'
_cell_length_a 3.948
_cell_length_b 3.948
_cell_length_c 8.397
_cell_angle_alpha 90.00
_cell_angle_beta 90.00
_cell_angle_gamma 90.00
_space_group_name_H-M_alt 'P 1'
_space_group_IT_number 1
_space_group_name_Hall 'P 1'
loop_
_atom_site_label
_atom_site_type_symbol
_atom_site_fract_x
_atom_site_fract_y
_atom_site_fract_z
Eu1 Eu 0.000 0.000 0.000
Th1 Th 0.500 0.500 0.298
Th2 Th 0.500 0.500 0.702
Pa1 Pa 0.000 0.000 0.500
```


No. 7
## EuPaTl2 (PBE)

Data for crystalline EuPaTl2 at its relaxed geometry.

The calculation puts the calculated formation energy at 76 kJ/mol of formula units.

Structure (CIF):
```
data_EuPaTl2
_chemical_formula_sum 'Eu1 Pa1 Tl2'
_cell_length_a 12.337
_cell_length_b 12.337
_cell_length_c 12.337
_cell_angle_alpha 15.64
_cell_angle_beta 15.64
_cell_angle_gamma 15.64
_space_group_name_H-M_alt 'P 1'
_space_group_IT_number 1
_space_group_name_Hall 'P 1'
loop_
_atom_site_label
_atom_site_type_symbol
_atom_site_fract_x
_atom_site_fract_y
_atom_site_fract_z
Eu1 Eu 0.000 0.000 0.000
Pa1 Pa 0.500 0.500 0.500
Tl1 Tl 0.089 0.089 0.089
Tl2 Tl 0.911 0.911 0.911
```


No. 8
## EuPb2 (PBE)

Data for crystalline EuPb2 at its relaxed geometry.

The calculation puts the calculated formation energy at -106 kJ/mol of formula units.

Structure (CIF):
```
data_EuPb2
_chemical_formula_sum 'Eu2 Pb4'
_cell_length_a 6.556
_cell_length_b 6.556
_cell_length_c 6.556
_cell_angle_alpha 60.00
_cell_angle_beta 60.00
_cell_angle_gamma 60.00
_space_group_name_H-M_alt 'P 1'
_space_group_IT_number 1
_space_group_name_Hall 'P 1'
loop_
_atom_site_label
_atom_site_type_symbol
_atom_site_fract_x
_atom_site_fract_y
_atom_site_fract_z
Eu1 Eu 0.125 0.125 0.125
Eu2 Eu 0.875 0.875 0.875
Pb1 Pb 0.000 0.500 0.500
Pb2 Pb 0.500 0.000 0.500
Pb3 Pb 0.500 0.500 0.000
Pb4 Pb 0.500 0.500 0.500
```


No. 9
## EuPb2 (PBE)

Data for crystalline EuPb2 at its relaxed geometry.

The calculation puts the calculated formation energy at -87 kJ/mol of formula units.

Structure (CIF):
```
data_EuPb2
_chemical_formula_sum 'Eu1 Pb2'
_cell_length_a 6.501
_cell_length_b 6.501
_cell_length_c 6.501
_cell_angle_alpha 143.59
_cell_angle_beta 143.59
_cell_angle_gamma 52.45
_space_group_name_H-M_alt 'P 1'
_space_group_IT_number 1
_space_group_name_Hall 'P 1'
loop_
_atom_site_label
_atom_site_type_symbol
_atom_site_fract_x
_atom_site_fract_y
_atom_site_fract_z
Eu1 Eu 0.000 0.000 0.000
Pb1 Pb 0.317 0.317 0.000
Pb2 Pb 0.683 0.683 0.000
```


No. 10
## EuPb6 (PBE)

Data for crystalline EuPb6 at its relaxed geometry.

The calculation puts the calculated formation energy at 213 kJ/mol of formula units.

Structure (CIF):
```
data_EuPb6
_chemical_formula_sum 'Eu1 Pb6'
_cell_length_a 7.428
_cell_length_b 7.428
_cell_length_c 7.428
_cell_angle_alpha 109.47
_cell_angle_beta 109.47
_cell_angle_gamma 109.47
_space_group_name_H-M_alt 'P 1'
_space_group_IT_number 1
_space_group_name_Hall 'P 1'
loop_
_atom_site_label
_atom_site_type_symbol
_atom_site_fract_x
_atom_site_fract_y
_atom_site_fract_z
Eu1 Eu 0.000 0.000 0.000
Pb1 Pb 0.250 0.500 0.750
Pb2 Pb 0.250 0.750 0.500
Pb3 Pb 0.500 0.250 0.750
Pb4 Pb 0.500 0.750 0.250
Pb5 Pb 0.750 0.250 0.500
Pb6 Pb 0.750 0.500 0.250
```


No. 11
## Eu6Pb (PBE)

Data for crystalline Eu6Pb at its relaxed geometry.

The calculation puts the calculated formation energy at 743 kJ/mol of formula units.

Structure (CIF):
```
data_Eu6Pb
_chemical_formula_sum 'Eu6 Pb1'
_cell_length_a 7.648
_cell_length_b 7.648
_cell_length_c 7.648
_cell_angle_alpha 109.47
_cell_angle_beta 109.47
_cell_angle_gamma 109.47
_space_group_name_H-M_alt 'P 1'
_space_group_IT_number 1
_space_group_name_Hall 'P 1'
loop_
_atom_site_label
_atom_site_type_symbol
_atom_site_fract_x
_atom_site_fract_y
_atom_site_fract_z
Eu1 Eu 0.250 0.500 0.750
Eu2 Eu 0.250 0.750 0.500
Eu3 Eu 0.500 0.250 0.750
Eu4 Eu 0.500 0.750 0.250
Eu5 Eu 0.750 0.250 0.500
Eu6 Eu 0.750 0.500 0.250
Pb1 Pb 0.000 0.000 0.000
```


No. 12
## PmEuPdPb (PBE)

Data for crystalline PmEuPdPb at its relaxed geometry.

The calculation puts the calculated formation energy at -213 kJ/mol of formula units.

Structure (CIF):
```
data_PmEuPdPb
_chemical_formula_sum 'Pm1 Eu1 Pd1 Pb1'
_cell_length_a 5.370
_cell_length_b 5.370
_cell_length_c 5.370
_cell_angle_alpha 60.00
_cell_angle_beta 60.00
_cell_angle_gamma 60.00
_space_group_name_H-M_alt 'P 1'
_space_group_IT_number 1
_space_group_name_Hall 'P 1'
loop_
_atom_site_label
_atom_site_type_symbol
_atom_site_fract_x
_atom_site_fract_y
_atom_site_fract_z
Pm1 Pm 0.000 0.000 0.000
Eu1 Eu 0.500 0.500 0.500
Pd1 Pd 0.750 0.750 0.750
Pb1 Pb 0.250 0.250 0.250
```


No. 13
## EuPdRhPb (PBE)

Data for crystalline EuPdRhPb at its relaxed geometry.

The calculation puts the calculated formation energy at -143 kJ/mol of formula units.

Structure (CIF):
```
data_EuPdRhPb
_chemical_formula_sum 'Eu1 Pd1 Rh1 Pb1'
_cell_length_a 4.893
_cell_length_b 4.893
_cell_length_c 4.893
_cell_angle_alpha 60.00
_cell_angle_beta 60.00
_cell_angle_gamma 60.00
_space_group_name_H-M_alt 'P 1'
_space_group_IT_number 1
_space_group_name_Hall 'P 1'
loop_
_atom_site_label
_atom_site_type_symbol
_atom_site_fract_x
_atom_site_fract_y
_atom_site_fract_z
Eu1 Eu 0.000 0.000 0.000
Pd1 Pd 0.250 0.250 0.250
Rh1 Rh 0.750 0.750 0.750
Pb1 Pb 0.500 0.500 0.500
```


No. 14
## EuTlPdPb (PBE)

Data for crystalline EuTlPdPb at its relaxed geometry.

The calculation puts the calculated formation energy at -128 kJ/mol of formula units.

Structure (CIF):
```
data_EuTlPdPb
_chemical_formula_sum 'Eu1 Tl1 Pd1 Pb1'
_cell_length_a 5.243
_cell_length_b 5.243
_cell_length_c 5.243
_cell_angle_alpha 60.00
_cell_angle_beta 60.00
_cell_angle_gamma 60.00
_space_group_name_H-M_alt 'P 1'
_space_group_IT_number 1
_space_group_name_Hall 'P 1'
loop_
_atom_site_label
_atom_site_type_symbol
_atom_site_fract_x
_atom_site_fract_y
_atom_site_fract_z
Eu1 Eu 0.000 0.000 0.000
Tl1 Tl 0.750 0.750 0.750
Pd1 Pd 0.250 0.250 0.250
Pb1 Pb 0.500 0.500 0.500
```


No. 15
## EuTmPdPb (PBE)

Data for crystalline EuTmPdPb at its relaxed geometry.

The calculation puts the calculated formation energy at -209 kJ/mol of formula units.

Structure (CIF):
```
data_EuTmPdPb
_chemical_formula_sum 'Eu1 Tm1 Pd1 Pb1'
_cell_length_a 5.267
_cell_length_b 5.267
_cell_length_c 5.267
_cell_angle_alpha 60.00
_cell_angle_beta 60.00
_cell_angle_gamma 60.00
_space_group_name_H-M_alt 'P 1'
_space_group_IT_number 1
_space_group_name_Hall 'P 1'
loop_
_atom_site_label
_atom_site_type_symbol
_atom_site_fract_x
_atom_site_fract_y
_atom_site_fract_z
Eu1 Eu 0.000 0.000 0.000
Tm1 Tm 0.500 0.500 0.500
Pd1 Pd 0.750 0.750 0.750
Pb1 Pb 0.250 0.250 0.250
```


no.,calculated total energy (eV per atom)
1,-9.924
2,-10.079
3,-10.006
4,-7.526
5,-8.351
6,-8.376
7,-5.928
8,-6.262
9,-6.198
10,-4.331
11,-8.236
12,-6.532
13,-7.002
14,-5.717
15,-6.454